[1]
Below is Er6SbTe3 after structural relaxation, with properties calculated at the PBE level.

Computed properties:
* uncorrected formation energy: -0.5786 eV/atom
* VASP energy: -46.71 eV per cell
* theoretical density: 7.4 g/cm³
* M_tot: 0.98 μB per cell
* space-group type: Cmmm

Cell: 4.5835 8.8934 8.8934 Å, 111.35 90.00 90.00°
Closest atoms and distances in Å follow each position.
Atoms (fractional coordinates):
Er (0.0000, 0.1147, 0.3560)  3 Te 2.95-2.98, 1 Sb 3.19
Er (0.0000, 0.8853, 0.6440)  3 Te 2.95-2.98, 1 Sb 3.19
Er (0.0000, 0.3560, 0.1147)  3 Te 2.95-2.98, 1 Sb 3.19
Er (0.0000, 0.6440, 0.8853)  3 Te 2.95-2.98, 1 Sb 3.19
Er (0.5000, 0.6348, 0.3652)  2 Te 3.02, 2 Sb 3.03
Er (0.5000, 0.3652, 0.6348)  2 Te 3.02, 2 Sb 3.03
Sb (0.0000, 0.5000, 0.5000)  8 Er 3.03-3.19
Te (0.5000, 0.5000, 0.0000)  6 Er 2.98-3.02
Te (0.0000, 0.0000, 0.0000)  4 Er 2.95
Te (0.5000, 0.0000, 0.5000)  6 Er 2.98-3.02

***

[2]
Below is Mg7Pb after structural relaxation, with properties calculated at the PBE level.

Computed properties:
* VASP energy: -14.93 eV per cell
* distance to the lowest polymorph of the same formula: 18 meV/atom
* theoretical density: 3.3 g/cm³
* M_tot: 0.00 μB per cell
* space-group type: Fm-3m
* energy relative to the elements: -0.007 eV/atom

Cell: 6.4441 6.4441 6.4441 Å, 60.00 60.00 60.00°
Closest atoms and distances in Å follow each position.
Atoms (fractional coordinates):
Mg (0.5000, 0.0000, 0.5000)  2 Pb 3.22, 10 Mg 3.22
Mg (0.0000, 0.5000, 0.5000)  10 Mg 3.22, 2 Pb 3.22
Mg (0.0000, 0.0000, 0.5000)  10 Mg 3.22, 2 Pb 3.22
Mg (0.0000, 0.5000, 0.0000)  10 Mg 3.22, 2 Pb 3.22
Mg (0.5000, 0.0000, 0.0000)  10 Mg 3.22, 2 Pb 3.22
Mg (0.5000, 0.5000, 0.0000)  10 Mg 3.22, 2 Pb 3.22
Mg (0.5000, 0.5000, 0.5000)  12 Mg 3.22
Pb (0.0000, 0.0000, 0.0000)  12 Mg 3.22

***

[3]
Below is KMg2Mo after structural relaxation, with properties calculated at the PBE level.

Computed properties:
* VASP energy: -12.97 eV per cell
* distance to the lowest polymorph of the same formula: 1 meV/atom
* theoretical density: 3.2 g/cm³
* M_tot: 0.22 μB per cell
* space-group type: P2/m
* energy relative to the elements: 0.537 eV/atom

Cell: 2.9406 2.9422 11.3190 Å, 75.20 90.00 90.00°
Closest atoms and distances in Å follow each position.
Atoms (fractional coordinates):
K (0.5000, 0.7500, 0.7500)  4 K 2.94
Mg (0.0000, 0.9386, 0.0566)  4 Mg 2.94, 4 Mo 2.97
Mg (0.0000, 0.5614, 0.4434)  4 Mg 2.94, 4 Mo 2.97
Mo (0.5000, 0.2500, 0.2500)  4 Mo 2.94, 8 Mg 2.97

***

[4]
Below is AlAsS3 after structural relaxation, with properties calculated at the PBE level.

Computed properties:
* uncorrected formation energy: -0.5704 eV/atom
* VASP energy: -47.25 eV per cell
* distance to the lowest polymorph of the same formula: 0 meV/atom
* theoretical density: 2.3 g/cm³
* M_tot: 0.00 μB per cell
* space-group type: C2/m

Cell: 3.4313 8.8647 14.1532 Å, 137.20 90.00 101.16°
Closest atoms and distances in Å follow each position.
Atoms (fractional coordinates):
Al (0.6467, 0.2935, 0.8693)  5 S 2.34-2.49
Al (0.3533, 0.7065, 0.1307)  5 S 2.34-2.49
As (0.9047, 0.8094, 0.5554)  3 S 2.26-2.35
As (0.0953, 0.1906, 0.4446)  3 S 2.26-2.35
S (0.4102, 0.8204, 0.6738)  2 As 2.35
S (0.5898, 0.1796, 0.3262)  2 As 2.35
S (0.8437, 0.6874, 0.0094)  3 Al 2.34-2.35
S (0.1563, 0.3126, 0.9906)  3 Al 2.34-2.35
S (0.0967, 0.1934, 0.7020)  1 As 2.26, 2 Al 2.49
S (0.9033, 0.8066, 0.2980)  1 As 2.26, 2 Al 2.49

***

[5]
Below is NbZnCrAu2 after structural relaxation, with properties calculated at the PBE level.

Computed properties:
* VASP energy: -23.15 eV per cell
* theoretical density: 9.4 g/cm³
* M_tot: 1.06 μB per cell
* space-group type: P4/mmm
* energy relative to the elements: 0.873 eV/atom

Cell: 4.9239 4.3838 4.9239 Å, 90.00 90.00 90.00°
Closest atoms and distances in Å follow each position.
Atoms (fractional coordinates):
Cr (0.0000, 0.0000, 0.0000)  2 Nb 2.19
Nb (0.0000, 0.5000, 0.0000)  2 Cr 2.19
Au (0.0000, 0.0000, 0.5000)  2 Cr 2.46
Au (0.5000, 0.0000, 0.0000)  2 Cr 2.46
Zn (0.5000, 0.5000, 0.5000)  8 Au 3.30, 4 Nb 3.48

***

[6]
Below is PmPrMgMn after structural relaxation, with properties calculated at the PBE level.

Computed properties:
* VASP energy: -19.80 eV per cell
* theoretical density: 5.6 g/cm³
* M_tot: 3.36 μB per cell
* space-group type: F-43m
* energy relative to the elements: 0.124 eV/atom

Cell: 5.3578 5.3578 5.3578 Å, 60.00 60.00 60.00°
Closest atoms and distances in Å follow each position.
Atoms (fractional coordinates):
Pr (0.7500, 0.7500, 0.7500)  4 Mn 3.28, 4 Mg 3.28
Mg (0.0000, 0.0000, 0.0000)  4 Pr 3.28, 4 Pm 3.28
Mn (0.5000, 0.5000, 0.5000)  4 Pr 3.28, 4 Pm 3.28
Pm (0.2500, 0.2500, 0.2500)  4 Mn 3.28, 4 Mg 3.28